# 1
# PBE LiFeSb2, optimized geometry
data_LiFeSb2
_space_group_name_H-M_alt 'P 1'
_space_group_IT_number 1
_cell_length_a 4.9412
_cell_length_b 4.9412
_cell_length_c 4.9412
_cell_angle_alpha 60.00
_cell_angle_beta 60.00
_cell_angle_gamma 60.00
loop_
_space_group_symop_operation_xyz
'x,y,z'
loop_
_atom_site_label
_atom_site_type_symbol
_atom_site_fract_x
_atom_site_fract_y
_atom_site_fract_z
Fe1 Fe 0.5000 0.5000 0.5000
Sb1 Sb 0.0000 0.0000 0.0000
Li1 Li 0.7500 0.7500 0.7500
Sb2 Sb 0.2500 0.2500 0.2500
# Distance to the lowest polymorph of the same formula: 486 meV per atom
# SG: No. 216
# Fermi-level density of states: 5.0 states/eV per cell
# Raw formation energy: 0.391 eV per atom


# 2
# PBE LaRhBr2, optimized geometry
data_LaRhBr2
_space_group_name_H-M_alt 'P 1'
_space_group_IT_number 1
_cell_length_a 3.9791
_cell_length_b 3.9791
_cell_length_c 7.0918
_cell_angle_alpha 90.00
_cell_angle_beta 90.00
_cell_angle_gamma 90.00
loop_
_space_group_symop_operation_xyz
'x,y,z'
loop_
_atom_site_label
_atom_site_type_symbol
_atom_site_fract_x
_atom_site_fract_y
_atom_site_fract_z
Rh1 Rh 0.5000 0.5000 0.6831
Br1 Br 0.5000 0.5000 0.3292
La1 La 0.0000 0.0000 0.5419
Br2 Br 0.0000 0.0000 0.9457
# Distance to the lowest polymorph of the same formula: 176 meV per atom
# SG: No. 99
# Raw formation energy: -0.958 eV per atom


# 3
# PBE Ac2GdCu, optimized geometry
data_Ac2GdCu
_space_group_name_H-M_alt 'P 1'
_space_group_IT_number 1
_cell_length_a 3.8270
_cell_length_b 3.8270
_cell_length_c 11.5778
_cell_angle_alpha 80.49
_cell_angle_beta 80.49
_cell_angle_gamma 60.00
loop_
_space_group_symop_operation_xyz
'x,y,z'
loop_
_atom_site_label
_atom_site_type_symbol
_atom_site_fract_x
_atom_site_fract_y
_atom_site_fract_z
Ac1 Ac 0.1041 0.1041 0.6877
Cu1 Cu 0.5000 0.5000 0.5000
Ac2 Ac 0.8959 0.8959 0.3123
Gd1 Gd 0.0000 0.0000 0.0000
# Distance to the lowest polymorph of the same formula: 302 meV per atom
# SG: No. 166
# Fermi-level density of states: 9.0 states/eV per cell
# Formation energy: 289.7 meV/atom


# 4
# PBE ThScCd4, optimized geometry
data_ThScCd4
_space_group_name_H-M_alt 'P 1'
_space_group_IT_number 1
_cell_length_a 5.8805
_cell_length_b 5.8805
_cell_length_c 5.8805
_cell_angle_alpha 60.00
_cell_angle_beta 60.00
_cell_angle_gamma 60.00
loop_
_space_group_symop_operation_xyz
'x,y,z'
loop_
_atom_site_label
_atom_site_type_symbol
_atom_site_fract_x
_atom_site_fract_y
_atom_site_fract_z
Cd1 Cd 0.6254 0.1237 0.6254
Cd2 Cd 0.6254 0.6254 0.6254
Cd3 Cd 0.1237 0.6254 0.6254
Sc1 Sc 0.0000 0.0000 0.0000
Th1 Th 0.2500 0.2500 0.2500
Cd4 Cd 0.6254 0.6254 0.1237
# Distance to the lowest polymorph of the same formula: 80 meV per atom
# SG: No. 216
# Fermi-level density of states: 6.7 states/eV per cell
# Formation energy: -120.5 meV/atom


# 5
# PBE ErTh4As6, optimized geometry
data_ErTh4As6
_space_group_name_H-M_alt 'P 1'
_space_group_IT_number 1
_cell_length_a 8.2709
_cell_length_b 8.2709
_cell_length_c 8.2709
_cell_angle_alpha 90.27
_cell_angle_beta 90.27
_cell_angle_gamma 89.73
loop_
_space_group_symop_operation_xyz
'x,y,z'
loop_
_atom_site_label
_atom_site_type_symbol
_atom_site_fract_x
_atom_site_fract_y
_atom_site_fract_z
Th1 Th 0.2500 0.6336 0.1336
As1 As 0.6791 0.0638 0.0829
Th2 Th 0.2500 0.2500 0.7500
Th3 Th 0.8664 0.2500 0.3664
As2 As 0.0829 0.3209 0.0638
Th4 Th 0.7500 0.3664 0.8664
Th5 Th 0.3664 0.1336 0.2500
As3 As 0.4362 0.8209 0.4171
As4 As 0.9362 0.0829 0.6791
Er1 Er 0.5000 0.5000 0.5000
As5 As 0.5638 0.1791 0.5829
As6 As 0.3209 0.9362 0.9171
As7 As 0.1791 0.4171 0.4362
As8 As 0.4171 0.5638 0.8209
Th6 Th 0.1336 0.7500 0.6336
As9 As 0.8209 0.5829 0.5638
Th7 Th 0.6336 0.8664 0.7500
As10 As 0.9171 0.6791 0.9362
As11 As 0.0638 0.9171 0.3209
Th8 Th 0.7500 0.7500 0.2500
Er2 Er 0.0000 0.0000 0.0000
As12 As 0.5829 0.4362 0.1791
# SG: No. 167
# Fermi-level density of states: 9.1 states/eV per cell
# Formation energy: -1229.5 meV/atom


# 6
# PBE LaSb2Os, optimized geometry
data_LaSb2Os
_space_group_name_H-M_alt 'P 1'
_space_group_IT_number 1
_cell_length_a 4.3788
_cell_length_b 5.0574
_cell_length_c 5.0561
_cell_angle_alpha 68.08
_cell_angle_beta 90.00
_cell_angle_gamma 90.00
loop_
_space_group_symop_operation_xyz
'x,y,z'
loop_
_atom_site_label
_atom_site_type_symbol
_atom_site_fract_x
_atom_site_fract_y
_atom_site_fract_z
Os1 Os 0.5000 0.7500 0.7500
La1 La 0.5000 0.2500 0.2500
Sb1 Sb 0.0000 0.5639 0.5638
Sb2 Sb 0.0000 0.9361 0.9362
# SG: No. 65
# Fermi-level density of states: 2.4 states/eV per cell
# Raw formation energy: -0.361 eV per atom


# 7
# PBE PmDyCoSi, optimized geometry
data_PmDyCoSi
_space_group_name_H-M_alt 'P 1'
_space_group_IT_number 1
_cell_length_a 4.9448
_cell_length_b 4.9448
_cell_length_c 4.9448
_cell_angle_alpha 60.00
_cell_angle_beta 60.00
_cell_angle_gamma 60.00
loop_
_space_group_symop_operation_xyz
'x,y,z'
loop_
_atom_site_label
_atom_site_type_symbol
_atom_site_fract_x
_atom_site_fract_y
_atom_site_fract_z
Dy1 Dy 0.7500 0.7500 0.7500
Si1 Si 0.5000 0.5000 0.5000
Co1 Co 0.0000 0.0000 0.0000
Pm1 Pm 0.2500 0.2500 0.2500
# SG: No. 216
# Fermi-level density of states: 2.1 states/eV per cell
# Raw formation energy: -0.278 eV per atom


# 8
# PBE LuPuPt, optimized geometry
data_LuPuPt
_space_group_name_H-M_alt 'P 1'
_space_group_IT_number 1
_cell_length_a 3.7359
_cell_length_b 4.6844
_cell_length_c 4.6844
_cell_angle_alpha 120.00
_cell_angle_beta 90.00
_cell_angle_gamma 90.00
loop_
_space_group_symop_operation_xyz
'x,y,z'
loop_
_atom_site_label
_atom_site_type_symbol
_atom_site_fract_x
_atom_site_fract_y
_atom_site_fract_z
Pt1 Pt 0.0182 0.0000 0.0000
Lu1 Lu 0.2668 0.3333 0.6667
Pu1 Pu 0.7150 0.6667 0.3333
# Distance to the lowest polymorph of the same formula: 151 meV per atom
# SG: No. 156
# Fermi-level density of states: 8.5 states/eV per cell
# Formation energy: -474.9 meV/atom


# 9
# PBE Cl, optimized geometry
data_Cl
_space_group_name_H-M_alt 'P 1'
_space_group_IT_number 1
_cell_length_a 5.8287
_cell_length_b 5.9616
_cell_length_c 9.4108
_cell_angle_alpha 66.70
_cell_angle_beta 83.94
_cell_angle_gamma 86.27
loop_
_space_group_symop_operation_xyz
'x,y,z'
loop_
_atom_site_label
_atom_site_type_symbol
_atom_site_fract_x
_atom_site_fract_y
_atom_site_fract_z
Cl1 Cl 0.6669 0.3018 0.2225
Cl2 Cl 0.7704 0.2117 0.6267
Cl3 Cl 0.3331 0.6982 0.7775
Cl4 Cl 0.8819 0.4789 0.2955
Cl5 Cl 0.2296 0.7883 0.3733
Cl6 Cl 0.3319 0.9973 0.1493
Cl7 Cl 0.6681 0.0027 0.8507
Cl8 Cl 0.1181 0.5211 0.7045
# Distance to the lowest polymorph of the same formula: 7 meV per atom
# SG: No. 2
# Fermi-level density of states: 0.0 states/eV per cell
# Raw formation energy: 0.007 eV per atom


# 10
# PBE TlAgAsS3, optimized geometry
data_TlAgAsS3
_space_group_name_H-M_alt 'P 1'
_space_group_IT_number 1
_cell_length_a 6.8790
_cell_length_b 7.0157
_cell_length_c 7.1433
_cell_angle_alpha 119.41
_cell_angle_beta 90.00
_cell_angle_gamma 90.00
loop_
_space_group_symop_operation_xyz
'x,y,z'
loop_
_atom_site_label
_atom_site_type_symbol
_atom_site_fract_x
_atom_site_fract_y
_atom_site_fract_z
S1 S 0.0000 0.7518 0.0000
Ag1 Ag 0.7500 0.5495 0.0990
Ag2 Ag 0.2500 0.4505 0.9010
Tl1 Tl 0.7500 0.2613 0.5227
S2 S 0.7500 0.7732 0.5463
S3 S 0.5000 0.7518 0.0000
Tl2 Tl 0.2500 0.7387 0.4773
S4 S 0.5000 0.2482 0.0000
As1 As 0.7500 0.9493 0.8986
As2 As 0.2500 0.0507 0.1014
S5 S 0.0000 0.2482 0.0000
S6 S 0.2500 0.2268 0.4537
# SG: No. 63
# Fermi-level density of states: 2.8 states/eV per cell
# Raw formation energy: -0.085 eV per atom


# 11
# PBE TiPt3, optimized geometry
data_TiPt3
_space_group_name_H-M_alt 'P 1'
_space_group_IT_number 1
_cell_length_a 5.5855
_cell_length_b 5.5855
_cell_length_c 15.9644
_cell_angle_alpha 90.00
_cell_angle_beta 90.00
_cell_angle_gamma 120.00
loop_
_space_group_symop_operation_xyz
'x,y,z'
loop_
_atom_site_label
_atom_site_type_symbol
_atom_site_fract_x
_atom_site_fract_y
_atom_site_fract_z
Ti1 Ti 0.3333 0.6667 0.5701
Pt1 Pt 0.6668 0.8334 0.8571
Pt2 Pt 0.1668 0.8332 0.4290
Pt3 Pt 0.3332 0.1666 0.1429
Pt4 Pt 0.5000 0.5000 0.0000
Ti2 Ti 0.0000 0.0000 0.0000
Pt5 Pt 0.5000 0.0000 0.0000
Pt6 Pt 0.4997 0.5003 0.2867
Pt7 Pt 0.5003 0.0006 0.7133
Pt8 Pt 0.4997 0.9994 0.2867
Pt9 Pt 0.8334 0.1666 0.1429
Pt10 Pt 0.8332 0.1668 0.5710
Pt11 Pt 0.8334 0.6668 0.1429
Pt12 Pt 0.0006 0.5003 0.2867
Pt13 Pt 0.1666 0.3332 0.8571
Pt14 Pt 0.1668 0.3337 0.4290
Ti3 Ti 0.6667 0.3333 0.8563
Pt15 Pt 0.3337 0.1668 0.5710
Ti4 Ti 0.6667 0.3333 0.4299
Pt16 Pt 0.0000 0.5000 0.0000
Ti5 Ti 0.0000 0.0000 0.2799
Pt17 Pt 0.1666 0.8334 0.8571
Pt18 Pt 0.8332 0.6663 0.5710
Ti6 Ti 0.0000 0.0000 0.7201
Pt19 Pt 0.6663 0.8332 0.4290
Pt20 Pt 0.9994 0.4997 0.7133
Ti7 Ti 0.3333 0.6667 0.1437
Pt21 Pt 0.5003 0.4997 0.7133
# SG: No. 164
# Fermi-level density of states: 11.2 states/eV per cell
# Formation energy: -871.0 meV/atom


# 12
# PBE RbCoAgBr4, optimized geometry
data_RbCoAgBr4
_space_group_name_H-M_alt 'P 1'
_space_group_IT_number 1
_cell_length_a 6.4988
_cell_length_b 7.7437
_cell_length_c 9.4937
_cell_angle_alpha 90.00
_cell_angle_beta 106.30
_cell_angle_gamma 90.00
loop_
_space_group_symop_operation_xyz
'x,y,z'
loop_
_atom_site_label
_atom_site_type_symbol
_atom_site_fract_x
_atom_site_fract_y
_atom_site_fract_z
Co1 Co 0.1908 0.7500 0.3093
Br1 Br 0.9513 0.5054 0.2868
Br2 Br 0.3163 0.7500 0.0948
Br3 Br 0.0487 0.4946 0.7132
Br4 Br 0.9513 0.9946 0.2868
Rb1 Rb 0.2665 0.2500 0.0819
Br5 Br 0.0487 0.0054 0.7132
Br6 Br 0.6837 0.2500 0.9052
Br7 Br 0.5304 0.2500 0.4656
Rb2 Rb 0.7335 0.7500 0.9181
Br8 Br 0.4696 0.7500 0.5344
Ag1 Ag 0.8558 0.7500 0.4834
Ag2 Ag 0.1442 0.2500 0.5166
Co2 Co 0.8092 0.2500 0.6907
# SG: No. 11
# Raw formation energy: -0.719 eV per atom


Respective E values: -4.2646; -4.8645; -6.3088; -3.0224; -6.8785; -6.4615; -5.7482; -8.7728; -1.8398; -3.7929; -7.3754; -3.2358 eV per atom.